Computed, not measured: an optimized crystal structure of YCoNO at the GGA+U level of DFT. Values from VASP.

Structure (Quantum ESPRESSO input):
```
&SYSTEM
  ibrav = 0, nat = 8, ntyp = 4
/
ATOMIC_SPECIES
Co 58.93 Co.upf
O 16.00 O.upf
Y 88.91 Y.upf
N 14.01 N.upf
ATOMIC_POSITIONS crystal
Co 0.5000 0.5000 0.5000
Co 0.0000 0.0000 0.5000
O 0.0000 0.0000 0.0000
O 0.5000 0.5000 0.0000
Y 0.0000 0.5000 0.1649
Y 0.5000 0.0000 0.8351
N 0.0000 0.5000 0.5818
N 0.5000 0.0000 0.4182
CELL_PARAMETERS angstrom
3.7272 0.0000 0.0000
0.0000 3.7272 0.0000
0.0000 0.0000 7.0832
```

magnetization	0.25	μB per atom
crystal system	tetragonal
E	-7.50	eV per atom
polymorph energy (0 for the lowest one)	12.8	kJ per mole of atoms